1.
The following is a DFT calculation (PBE-GGA) of crystalline NdSnPb at its relaxed geometry.

Summary:
- Crystal system: cubic
- Size of the total moment: 0.00 μB/f.u.
- Excess energy over the best structure of this formula in the dataset: 48.0 meV per atom

a = 5.2755 Å, b = 5.2755 Å, c = 5.2755 Å
α = 60.00°, β = 60.00°, γ = 60.00°
Last column: nearest neighbours and their distance in Å.
Atoms (fractional coordinates):
Sn  0.7500  0.7500  0.7500  4 Nd 3.23
Nd  0.0000  0.0000  0.0000  4 Sn 3.23, 4 Pb 3.23
Pb  0.2500  0.2500  0.2500  4 Nd 3.23


2.
The following is a DFT calculation (PBE-GGA) of crystalline NdSnTe3Pb at its relaxed geometry.

Summary:
- Total DFT energy (no corrections): -4.22 eV/atom
- Crystal system: orthorhombic
- Size of the total moment: 0.01 μB/f.u.

a = 8.1128 Å, b = 8.1128 Å, c = 11.0837 Å
α = 90.00°, β = 90.00°, γ = 147.77°
Last column: nearest neighbours and their distance in Å.
Atoms (fractional coordinates):
Nd  0.5000  0.5000  0.0000  6 Te 3.25-3.36, 4 Sn 3.59
Nd  0.5000  0.5000  0.5000  6 Te 3.25-3.36, 4 Sn 3.59
Sn  0.0226  0.9774  0.7500  4 Te 3.06-3.18
Sn  0.9774  0.0226  0.2500  4 Te 3.06-3.18
Te  0.1478  0.8522  0.5371  1 Sn 3.06, 2 Nd 3.25
Te  0.3782  0.6218  0.7500  2 Sn 3.18, 2 Pb 3.31, 2 Nd 3.36
Te  0.8522  0.1478  0.0371  1 Sn 3.06, 2 Nd 3.25
Te  0.8522  0.1478  0.4629  1 Sn 3.06, 2 Nd 3.25
Te  0.6218  0.3782  0.2500  2 Sn 3.18, 2 Pb 3.31, 2 Nd 3.36
Te  0.1478  0.8522  0.9629  1 Sn 3.06, 2 Nd 3.25
Pb  0.2772  0.7228  0.2500  6 Te 3.31-3.46
Pb  0.7228  0.2772  0.7500  6 Te 3.31-3.46


3.
The following is a DFT calculation (PBE-GGA) of crystalline SrNdPb2 at its relaxed geometry.

Summary:
- Total DFT energy (no corrections): -3.97 eV/atom
- Crystal system: orthorhombic
- Size of the total moment: 0.03 μB/f.u.

a = 4.5282 Å, b = 6.5620 Å, c = 6.5620 Å
α = 43.82°, β = 90.00°, γ = 90.00°
Last column: nearest neighbours and their distance in Å.
Atoms (fractional coordinates):
Sr  0.5000  0.3644  0.3644  7 Pb 3.31-3.70
Nd  0.0000  0.6322  0.6322  7 Pb 3.37-3.64
Pb  0.5000  0.0923  0.0923  2 Pb 3.16, 1 Sr 3.31, 4 Nd 3.37
Pb  0.0000  0.9110  0.9110  2 Pb 3.16, 4 Sr 3.38, 1 Nd 3.39


4.
The following is a DFT calculation (PBE-GGA) of crystalline SrNdPb at its relaxed geometry.

Summary:
- Total DFT energy (no corrections): -3.68 eV/atom
- Crystal system: cubic
- Size of the total moment: 0.02 μB/f.u.

a = 5.5031 Å, b = 5.5031 Å, c = 5.5031 Å
α = 60.00°, β = 60.00°, γ = 60.00°
Last column: nearest neighbours and their distance in Å.
Atoms (fractional coordinates):
Nd  0.2500  0.2500  0.2500  4 Pb 3.37
Sr  0.7500  0.7500  0.7500  4 Pb 3.37
Pb  0.0000  0.0000  0.0000  4 Sr 3.37, 4 Nd 3.37